Ni2IO6 after structural relaxation, computed with PBE+U.

a b c (Å): 4.685 5.147 8.514
angles (deg): 90.00 90.00 90.00
Fractional positions:
I 0.500 0.500 0.000
I 0.000 0.000 0.500
O 0.726 0.336 0.840
O 0.226 0.164 0.660
O 0.288 0.188 0.000
O 0.226 0.164 0.341
O 0.274 0.664 0.841
O 0.274 0.664 0.160
O 0.774 0.836 0.659
O 0.212 0.688 0.500
O 0.726 0.336 0.159
O 0.788 0.312 0.500
O 0.774 0.836 0.340
O 0.712 0.812 0.000
Ni 0.500 0.000 0.815
Ni 0.500 0.000 0.185
Ni 0.000 0.500 0.685
Ni 0.000 0.500 0.315

Properties
Mass density = 5.505 g/cm³
DFT total energy = -4.605 eV per atom
Total moment = 2.96 μB per formula unit